No. 1
Below is BeNbCo2Re after structural relaxation, with properties calculated at the PBE level.

Computed properties:
space group	P4/mmm
V	18.97	Å³/atom
energy of formation from the pure elements	1643	meV/atom
uncorrected energy	-0.2370	hartree per atom
density of states at the Fermi level	6.25	states/eV per cell

Unit cell a=4.448 b=4.448 c=4.796 alpha=90.00 beta=90.00 gamma=90.00
Positions (direct):
Be (0.000, 0.000, 0.000)
Nb (0.500, 0.500, 0.000)
Co (0.000, 0.500, 0.500)
Co (0.500, 0.000, 0.500)
Re (0.500, 0.500, 0.500)

No. 2
Below is NaTl3In3 after structural relaxation, with properties calculated at the PBE level.

Computed properties:
space group	P6_3/m
V	28.55	Å³/atom
energy of formation from the pure elements	-37	meV/atom
energy relative to the lowest polymorph listed for this composition	0.000	eV per atom
uncorrected energy	-0.0887	hartree per atom
density of states at the Fermi level	6.49	states/eV per cell

Unit cell a=9.103 b=9.103 c=5.570 alpha=90.00 beta=90.00 gamma=120.00
Positions (direct):
Na (0.333, 0.667, 0.250)
Na (0.667, 0.333, 0.750)
Tl (0.097, 0.469, 0.750)
Tl (0.372, 0.903, 0.750)
Tl (0.469, 0.372, 0.250)
Tl (0.531, 0.628, 0.750)
Tl (0.628, 0.097, 0.250)
Tl (0.903, 0.531, 0.250)
In (0.051, 0.231, 0.250)
In (0.180, 0.949, 0.250)
In (0.231, 0.180, 0.750)
In (0.769, 0.820, 0.250)
In (0.820, 0.051, 0.750)
In (0.949, 0.769, 0.750)

No. 3
Below is Y2ZnIBr after structural relaxation, with properties calculated at the PBE level.

Computed properties:
space group	P4/mmm
V	33.10	Å³/atom
formation energy without anion corrections	0.42	eV/f.u.
uncorrected energy	-0.1250	hartree per atom
density of states at the Fermi level	7.68	states/eV per cell

Unit cell a=5.435 b=5.435 c=5.602 alpha=90.00 beta=90.00 gamma=90.00
Positions (direct):
Y (0.000, 0.500, 0.000)
Y (0.500, 0.000, 0.000)
Zn (0.000, 0.000, 0.500)
I (0.500, 0.500, 0.500)
Br (0.000, 0.000, 0.000)